w | Entry from Alexandria: a relaxed structure of NiBiOF2 (PBE with a Hubbard U).

abc: 4.5474 4.5474 4.4956
angles: 90.00 90.00 90.00
Closest atoms and distances in Å follow each position.
Fractional coordinates of all 5 atoms:
Ni (0.5000, 0.5000, 0.5000)  8 F 3.20, 4 O 3.22
Bi (0.0000, 0.0000, 0.0000)  2 O 2.25, 4 F 2.27
O (0.0000, 0.0000, 0.5000)  2 Bi 2.25
F (0.0000, 0.5000, 0.0000)  2 Bi 2.27
F (0.5000, 0.0000, 0.0000)  2 Bi 2.27

x | Entry from Alexandria: a relaxed structure of NiBiOF2 (PBE with a Hubbard U).

abc: 4.0014 4.0014 4.1195
angles: 90.00 90.00 90.00
Closest atoms and distances in Å follow each position.
Fractional coordinates of all 5 atoms:
Ni (0.0000, 0.0000, 0.0000)  4 F 2.00, 2 O 2.06
Bi (0.5000, 0.5000, 0.5000)  4 O 2.83, 8 F 2.87
O (0.0000, 0.0000, 0.5000)  2 Ni 2.06
F (0.0000, 0.5000, 0.0000)  2 Ni 2.00
F (0.5000, 0.0000, 0.0000)  2 Ni 2.00

Q: Which of them is the least stable? A: w.